P.
{"formula": "Mg2H2Pt", "functional": "PBE-GGA", "state": "optimized geometry", "lattice": [[3.137, 0.000, 0.000], [0.000, 3.137, 0.000], [1.569, 1.569, 5.818]], "species": ["H", "H", "Mg", "Mg", "Pt"], "frac_coords": [[0.750, 0.250, 0.500], [0.250, 0.750, 0.500], [0.352, 0.352, 0.295], [0.648, 0.648, 0.705], [0.000, 0.000, 0.000]], "magmom_total_mub_per_fu": 0.00, "space_group": "I4/mmm, No. 139"}

Q.
{"formula": "Mg2H2Pt", "functional": "PBE-GGA", "state": "optimized geometry", "lattice": [[6.336, 0.000, 0.000], [0.000, 6.336, 0.000], [0.000, 0.000, 2.929]], "species": ["H", "H", "H", "H", "Mg", "Mg", "Mg", "Mg", "Pt", "Pt"], "frac_coords": [[0.374, 0.874, 0.000], [0.874, 0.626, 0.000], [0.626, 0.126, 0.000], [0.126, 0.374, 0.000], [0.188, 0.688, 0.500], [0.688, 0.812, 0.500], [0.812, 0.312, 0.500], [0.312, 0.188, 0.500], [0.000, 0.000, 0.000], [0.500, 0.500, 0.000]], "magmom_total_mub_per_fu": 0.00, "space_group": "P4/mbm, No. 127"}

Stability ranking, top entry: P; the second entry is 0.186 eV/atom less favorable.

P.
{"formula": "Mg2HPtRh", "functional": "PBE-GGA", "state": "optimized geometry", "lattice": [[-2.740, -0.041, -3.402], [-0.917, -4.198, 0.789], [-2.570, 0.948, 2.058]], "species": ["H", "Mg", "Mg", "Rh", "Pt"], "frac_coords": [[0.000, 0.000, 0.000], [0.000, 0.500, 0.000], [0.500, 0.000, 0.000], [0.000, 0.000, 0.500], [0.500, 0.500, 0.500]], "magmom_total_mub_per_fu": 0.00, "space_group": "P4/mmm, No. 123"}

Q.
{"formula": "Mg2HPtRh", "functional": "PBE-GGA", "state": "optimized geometry", "lattice": [[-0.010, -4.358, 0.245], [4.159, -0.084, -1.321], [1.051, 0.183, 3.296]], "species": ["H", "Mg", "Mg", "Rh", "Pt"], "frac_coords": [[0.000, 0.000, 0.000], [0.000, 0.500, 0.000], [0.500, 0.000, 0.000], [0.500, 0.500, 0.500], [0.000, 0.000, 0.500]], "magmom_total_mub_per_fu": 0.00, "space_group": "P4/mmm, No. 123"}

Stability ranking, top entry: P; the second entry is 0.105 eV/atom less favorable.

P.
{"formula": "MgHRuPt2", "functional": "PBE-GGA", "state": "optimized geometry", "lattice": [[4.000, 0.000, 0.000], [0.000, 4.000, 0.000], [0.000, 0.000, 3.998]], "species": ["Ru", "Mg", "Pt", "Pt", "H"], "frac_coords": [[0.000, 0.000, 0.500], [0.500, 0.500, 0.500], [0.000, 0.500, 0.000], [0.500, 0.000, 0.000], [0.000, 0.000, 0.000]], "magmom_total_mub_per_fu": 0.00, "space_group": "P4/mmm, No. 123"}

Q.
{"formula": "MgHRuPt2", "functional": "PBE-GGA", "state": "optimized geometry", "lattice": [[4.974, 0.000, 0.000], [0.000, 2.921, 0.000], [0.000, 0.000, 4.974]], "species": ["Ru", "Mg", "Pt", "Pt", "H"], "frac_coords": [[0.500, 0.500, 0.500], [0.000, 0.000, 0.000], [0.000, 0.000, 0.500], [0.500, 0.000, 0.000], [0.000, 0.500, 0.000]], "magmom_total_mub_per_fu": 1.49, "space_group": "P4/mmm, No. 123"}

Stability ranking, top entry: P; the second entry is 0.830 eV/atom less favorable.

P.
{"formula": "MgTi2HPt", "functional": "PBE-GGA", "state": "optimized geometry", "lattice": [[-2.523, -2.384, -2.182], [2.661, -3.103, 0.313], [-1.813, -1.210, 3.418]], "species": ["H", "Mg", "Pt", "Ti", "Ti"], "frac_coords": [[0.000, 0.000, 0.000], [0.500, 0.500, 0.500], [0.000, 0.000, 0.500], [0.000, 0.500, 0.000], [0.500, 0.000, 0.000]], "magmom_total_mub_per_fu": 0.00, "space_group": "P4/mmm, No. 123"}

Q.
{"formula": "MgTi2HPt", "functional": "PBE-GGA", "state": "optimized geometry", "lattice": [[3.928, 0.000, 0.000], [0.000, 3.928, 0.000], [0.000, 0.000, 4.356]], "species": ["H", "Mg", "Pt", "Ti", "Ti"], "frac_coords": [[0.000, 0.000, 0.000], [0.000, 0.000, 0.500], [0.500, 0.500, 0.500], [0.000, 0.500, 0.000], [0.500, 0.000, 0.000]], "magmom_total_mub_per_fu": 0.00, "space_group": "P4/mmm, No. 123"}

Stability ranking, top entry: Q; the second entry is 0.099 eV/atom less favorable.